Record 1
{
  "formula": "ZrTlAuSe3",
  "functional": "GGA-PBE",
  "state": "relaxed",
  "dft_energy_ev_per_atom": -4.876,
  "space_group": "Pnma",
  "crystal_system": "orthorhombic",
  "cell": [[-9.351, 5.059, -1.664], [-1.910, -2.966, 1.714], [1.286, 6.613, 12.880]],
  "species": ["Au", "Au", "Au", "Au", "Se", "Se", "Se", "Se", "Se", "Se", "Se", "Se", "Se", "Se", "Se", "Se", "Tl", "Tl", "Tl", "Tl", "Zr", "Zr", "Zr", "Zr"],
  "frac_coords": [[0.250, 0.750, 0.189], [0.750, 0.750, 0.311], [0.250, 0.250, 0.689], [0.750, 0.250, 0.811], [0.467, 0.750, 0.119], [0.026, 0.750, 0.125], [0.738, 0.250, 0.181], [0.238, 0.250, 0.319], [0.526, 0.750, 0.375], [0.967, 0.750, 0.381], [0.033, 0.250, 0.619], [0.474, 0.250, 0.625], [0.762, 0.750, 0.681], [0.262, 0.750, 0.819], [0.974, 0.250, 0.875], [0.533, 0.250, 0.881], [0.235, 0.250, 0.004], [0.735, 0.250, 0.496], [0.265, 0.750, 0.504], [0.765, 0.750, 0.996], [0.961, 0.250, 0.249], [0.461, 0.250, 0.251], [0.539, 0.750, 0.749], [0.039, 0.750, 0.751]]
}

=====

Record 2
{
  "formula": "ZrTlAuSe3",
  "functional": "GGA-PBE",
  "state": "relaxed",
  "dft_energy_ev_per_atom": -4.887,
  "space_group": "Pnma",
  "crystal_system": "orthorhombic",
  "cell": [[14.574, 0.000, 0.000], [0.000, 3.938, 0.000], [0.000, 0.000, 10.631]],
  "species": ["Au", "Au", "Au", "Au", "Se", "Se", "Se", "Se", "Se", "Se", "Se", "Se", "Se", "Se", "Se", "Se", "Tl", "Tl", "Tl", "Tl", "Zr", "Zr", "Zr", "Zr"],
  "frac_coords": [[0.479, 0.750, 0.098], [0.979, 0.750, 0.402], [0.021, 0.250, 0.598], [0.521, 0.250, 0.902], [0.090, 0.750, 0.067], [0.606, 0.250, 0.139], [0.858, 0.750, 0.226], [0.358, 0.750, 0.274], [0.106, 0.250, 0.361], [0.590, 0.750, 0.433], [0.410, 0.250, 0.567], [0.894, 0.750, 0.639], [0.642, 0.250, 0.726], [0.142, 0.250, 0.774], [0.394, 0.750, 0.861], [0.910, 0.250, 0.933], [0.269, 0.250, 0.047], [0.769, 0.250, 0.453], [0.231, 0.750, 0.547], [0.731, 0.750, 0.953], [0.985, 0.250, 0.175], [0.485, 0.250, 0.325], [0.515, 0.750, 0.675], [0.015, 0.750, 0.825]]
}

=====

Record 3
{
  "formula": "ZrTlAuSe3",
  "functional": "GGA-PBE",
  "state": "relaxed",
  "dft_energy_ev_per_atom": -4.795,
  "space_group": "Pnma",
  "crystal_system": "orthorhombic",
  "cell": [[-5.097, 10.868, -1.179], [-1.463, -1.068, -3.519], [-10.543, -4.327, 5.697]],
  "species": ["Au", "Au", "Au", "Au", "Se", "Se", "Se", "Se", "Se", "Se", "Se", "Se", "Se", "Se", "Se", "Se", "Tl", "Tl", "Tl", "Tl", "Zr", "Zr", "Zr", "Zr"],
  "frac_coords": [[0.239, 0.750, 0.183], [0.739, 0.750, 0.317], [0.261, 0.250, 0.683], [0.761, 0.250, 0.817], [0.417, 0.750, 0.068], [0.760, 0.250, 0.162], [0.023, 0.750, 0.191], [0.523, 0.750, 0.309], [0.260, 0.250, 0.338], [0.917, 0.750, 0.432], [0.083, 0.250, 0.568], [0.740, 0.750, 0.662], [0.477, 0.250, 0.691], [0.977, 0.250, 0.809], [0.240, 0.750, 0.838], [0.583, 0.250, 0.932], [0.159, 0.250, 0.009], [0.659, 0.250, 0.491], [0.341, 0.750, 0.509], [0.841, 0.750, 0.991], [0.550, 0.250, 0.163], [0.050, 0.250, 0.337], [0.950, 0.750, 0.663], [0.450, 0.750, 0.837]]
}

=====

Record 4
{
  "formula": "ZrTlAuSe3",
  "functional": "GGA-PBE",
  "state": "relaxed",
  "dft_energy_ev_per_atom": -4.760,
  "space_group": "Pnma",
  "crystal_system": "orthorhombic",
  "cell": [[-7.916, 0.623, 0.205], [-0.022, -1.556, 3.903], [1.417, 15.903, 6.350]],
  "species": ["Au", "Au", "Au", "Au", "Se", "Se", "Se", "Se", "Se", "Se", "Se", "Se", "Se", "Se", "Se", "Se", "Tl", "Tl", "Tl", "Tl", "Zr", "Zr", "Zr", "Zr"],
  "frac_coords": [[0.502, 0.250, 0.174], [0.002, 0.250, 0.326], [0.998, 0.750, 0.674], [0.498, 0.750, 0.826], [0.124, 0.250, 0.041], [0.508, 0.750, 0.073], [0.835, 0.250, 0.194], [0.335, 0.250, 0.306], [0.008, 0.750, 0.427], [0.624, 0.250, 0.459], [0.376, 0.750, 0.541], [0.992, 0.250, 0.573], [0.665, 0.750, 0.694], [0.165, 0.750, 0.806], [0.492, 0.250, 0.927], [0.876, 0.750, 0.959], [0.149, 0.750, 0.188], [0.649, 0.750, 0.312], [0.351, 0.250, 0.688], [0.851, 0.250, 0.812], [0.762, 0.250, 0.046], [0.262, 0.250, 0.454], [0.738, 0.750, 0.546], [0.238, 0.750, 0.954]]
}

=====

Record 5
{
  "formula": "ZrTlAuSe3",
  "functional": "GGA-PBE",
  "state": "relaxed",
  "dft_energy_ev_per_atom": -4.862,
  "space_group": "Cmcm",
  "crystal_system": "orthorhombic",
  "cell": [[-8.327, 5.433, 3.090], [-1.685, -5.445, 5.033], [3.578, 6.478, -1.748]],
  "species": ["Au", "Au", "Se", "Se", "Se", "Se", "Se", "Se", "Tl", "Tl", "Zr", "Zr"],
  "frac_coords": [[0.750, 0.549, 0.451], [0.250, 0.451, 0.549], [0.750, 0.926, 0.074], [0.532, 0.630, 0.370], [0.968, 0.630, 0.370], [0.032, 0.370, 0.630], [0.468, 0.370, 0.630], [0.250, 0.074, 0.926], [0.250, 0.759, 0.241], [0.750, 0.241, 0.759], [0.000, 0.000, 0.000], [0.500, 0.000, 0.000]]
}

=====

Record 6
{
  "formula": "ZrTlAu3Se4",
  "functional": "GGA-PBE",
  "state": "relaxed",
  "dft_energy_ev_per_atom": -4.315,
  "space_group": "P-43m",
  "crystal_system": "cubic",
  "cell": [[6.410, 0.000, 0.000], [0.000, 6.410, 0.000], [0.000, 0.000, 6.410]],
  "species": ["Au", "Au", "Au", "Se", "Se", "Se", "Se", "Tl", "Zr"],
  "frac_coords": [[0.500, 0.500, 0.000], [0.500, 0.000, 0.500], [0.000, 0.500, 0.500], [0.270, 0.270, 0.270], [0.730, 0.730, 0.270], [0.730, 0.270, 0.730], [0.270, 0.730, 0.730], [0.000, 0.000, 0.000], [0.500, 0.500, 0.500]]
}

=====

Record 7
{
  "formula": "ZrTlAuSe3",
  "functional": "GGA-PBE",
  "state": "relaxed",
  "dft_energy_ev_per_atom": -4.799,
  "space_group": "C2/m",
  "crystal_system": "monoclinic",
  "cell": [[8.883, -1.926, 0.000], [8.883, 1.926, 0.000], [-1.226, 0.000, 8.741]],
  "species": ["Au", "Au", "Se", "Se", "Se", "Se", "Se", "Se", "Tl", "Tl", "Zr", "Zr"],
  "frac_coords": [[0.549, 0.549, 0.221], [0.451, 0.451, 0.779], [0.000, 0.000, 0.000], [0.322, 0.322, 0.116], [0.693, 0.693, 0.313], [0.500, 0.500, 0.500], [0.307, 0.307, 0.687], [0.678, 0.678, 0.884], [0.873, 0.873, 0.414], [0.127, 0.127, 0.586], [0.162, 0.162, 0.095], [0.838, 0.838, 0.905]]
}

=====

Record 8
{
  "formula": "ZrTlAuSe3",
  "functional": "GGA-PBE",
  "state": "relaxed",
  "dft_energy_ev_per_atom": -4.891,
  "space_group": "P2_1/m",
  "crystal_system": "monoclinic",
  "cell": [[8.294, 0.000, 0.000], [0.000, 3.928, 0.000], [-3.666, 0.000, 9.557]],
  "species": ["Au", "Au", "Se", "Se", "Se", "Se", "Se", "Se", "Tl", "Tl", "Zr", "Zr"],
  "frac_coords": [[0.068, 0.750, 0.112], [0.932, 0.250, 0.888], [0.277, 0.250, 0.065], [0.091, 0.750, 0.368], [0.551, 0.750, 0.375], [0.449, 0.250, 0.625], [0.909, 0.250, 0.632], [0.723, 0.750, 0.935], [0.734, 0.250, 0.208], [0.266, 0.750, 0.792], [0.303, 0.250, 0.333], [0.697, 0.750, 0.667]]
}

=====

Record 9
{
  "formula": "Tm2AuSe3",
  "functional": "GGA-PBE",
  "state": "relaxed",
  "dft_energy_ev_per_atom": -5.033,
  "space_group": "Pnma",
  "crystal_system": "orthorhombic",
  "cell": [[-7.838, -1.405, 6.232], [1.834, -2.932, 1.646], [5.732, 8.737, 9.179]],
  "species": ["Au", "Au", "Au", "Au", "Se", "Se", "Se", "Se", "Se", "Se", "Se", "Se", "Se", "Se", "Se", "Se", "Tm", "Tm", "Tm", "Tm", "Tm", "Tm", "Tm", "Tm"],
  "frac_coords": [[0.239, 0.250, 0.225], [0.739, 0.250, 0.275], [0.261, 0.750, 0.725], [0.761, 0.750, 0.775], [0.433, 0.250, 0.096], [0.036, 0.250, 0.098], [0.738, 0.750, 0.129], [0.238, 0.750, 0.371], [0.536, 0.250, 0.402], [0.933, 0.250, 0.404], [0.067, 0.750, 0.596], [0.464, 0.750, 0.598], [0.762, 0.250, 0.629], [0.262, 0.250, 0.871], [0.964, 0.750, 0.902], [0.567, 0.750, 0.904], [0.234, 0.750, 0.027], [0.488, 0.750, 0.248], [0.988, 0.750, 0.252], [0.734, 0.750, 0.473], [0.266, 0.250, 0.527], [0.012, 0.250, 0.748], [0.512, 0.250, 0.752], [0.766, 0.250, 0.973]]
}

=====

Record 10
{
  "formula": "Y2AuSe3",
  "functional": "GGA-PBE",
  "state": "relaxed",
  "dft_energy_ev_per_atom": -5.755,
  "space_group": "Pnma",
  "crystal_system": "orthorhombic",
  "cell": [[10.251, 0.000, 0.000], [0.000, 3.891, 0.000], [0.000, 0.000, 13.971]],
  "species": ["Au", "Au", "Au", "Au", "Se", "Se", "Se", "Se", "Se", "Se", "Se", "Se", "Se", "Se", "Se", "Se", "Y", "Y", "Y", "Y", "Y", "Y", "Y", "Y"],
  "frac_coords": [[0.258, 0.250, 0.223], [0.758, 0.250, 0.277], [0.242, 0.750, 0.723], [0.742, 0.750, 0.777], [0.066, 0.250, 0.095], [0.459, 0.250, 0.097], [0.760, 0.750, 0.134], [0.260, 0.750, 0.366], [0.959, 0.250, 0.403], [0.566, 0.250, 0.405], [0.434, 0.750, 0.595], [0.041, 0.750, 0.597], [0.740, 0.250, 0.634], [0.240, 0.250, 0.866], [0.541, 0.750, 0.903], [0.934, 0.750, 0.905], [0.263, 0.750, 0.025], [0.010, 0.750, 0.248], [0.510, 0.750, 0.252], [0.763, 0.750, 0.475], [0.237, 0.250, 0.525], [0.490, 0.250, 0.748], [0.990, 0.250, 0.752], [0.737, 0.250, 0.975]]
}

=====

Record 11
{
  "formula": "Zr3AuSe5",
  "functional": "GGA-PBE",
  "state": "relaxed",
  "dft_energy_ev_per_atom": -5.817,
  "space_group": "P6/mmm",
  "crystal_system": "hexagonal",
  "cell": [[-3.225, 2.508, -4.742], [-3.025, -2.846, 4.683], [-0.370, 6.230, 3.546]],
  "species": ["Au", "Se", "Se", "Se", "Se", "Se", "Zr", "Zr", "Zr"],
  "frac_coords": [[0.000, 0.000, 0.000], [0.667, 0.333, 0.226], [0.333, 0.667, 0.226], [0.000, 0.000, 0.500], [0.667, 0.333, 0.774], [0.333, 0.667, 0.774], [0.500, 0.000, 0.500], [0.000, 0.500, 0.500], [0.500, 0.500, 0.500]]
}

=====

Record 12
{
  "formula": "Zr3AuSe",
  "functional": "GGA-PBE",
  "state": "relaxed",
  "dft_energy_ev_per_atom": -7.137,
  "space_group": "Cmcm",
  "crystal_system": "orthorhombic",
  "cell": [[-4.393, 4.441, 0.643], [3.782, -3.060, -3.971], [-6.995, -6.702, -1.499]],
  "species": ["Au", "Au", "Se", "Se", "Zr", "Zr", "Zr", "Zr", "Zr", "Zr"],
  "frac_coords": [[0.243, 0.757, 0.250], [0.757, 0.243, 0.750], [0.500, 0.500, 0.000], [0.500, 0.500, 0.500], [0.847, 0.153, 0.063], [0.562, 0.438, 0.250], [0.847, 0.153, 0.437], [0.153, 0.847, 0.563], [0.438, 0.562, 0.750], [0.153, 0.847, 0.937]]
}

=====

Copy entry 4 word for word.
{
  "formula": "ZrTlAuSe3",
  "functional": "GGA-PBE",
  "state": "relaxed",
  "dft_energy_ev_per_atom": -4.760,
  "space_group": "Pnma",
  "crystal_system": "orthorhombic",
  "cell": [[-7.916, 0.623, 0.205], [-0.022, -1.556, 3.903], [1.417, 15.903, 6.350]],
  "species": ["Au", "Au", "Au", "Au", "Se", "Se", "Se", "Se", "Se", "Se", "Se", "Se", "Se", "Se", "Se", "Se", "Tl", "Tl", "Tl", "Tl", "Zr", "Zr", "Zr", "Zr"],
  "frac_coords": [[0.502, 0.250, 0.174], [0.002, 0.250, 0.326], [0.998, 0.750, 0.674], [0.498, 0.750, 0.826], [0.124, 0.250, 0.041], [0.508, 0.750, 0.073], [0.835, 0.250, 0.194], [0.335, 0.250, 0.306], [0.008, 0.750, 0.427], [0.624, 0.250, 0.459], [0.376, 0.750, 0.541], [0.992, 0.250, 0.573], [0.665, 0.750, 0.694], [0.165, 0.750, 0.806], [0.492, 0.250, 0.927], [0.876, 0.750, 0.959], [0.149, 0.750, 0.188], [0.649, 0.750, 0.312], [0.351, 0.250, 0.688], [0.851, 0.250, 0.812], [0.762, 0.250, 0.046], [0.262, 0.250, 0.454], [0.738, 0.750, 0.546], [0.238, 0.750, 0.954]]
}